(1)
A relaxed structure of CaFe2Hg. Source: Alexandria, functional PBE.

Cell lengths 4.497, 4.497, 10.010 Å; angles 77.02, 77.02, 90.00 degrees
Fractional coordinates of all 8 atoms:
Hg1 0.750 0.250 0.500
Hg2 0.000 0.000 0.000
Fe1 0.851 0.125 0.250
Fe2 0.899 0.625 0.250
Fe3 0.375 0.149 0.750
Fe4 0.875 0.101 0.750
Ca1 0.250 0.750 0.500
Ca2 0.500 0.500 0.000

Output
Space group: I-42d
Formation energy from the elements: 49.9 kJ per mole of atoms
Density: 6.10 g/cm3



(2)
A relaxed structure of MnZn2Ag. Source: Alexandria, functional PBE.

Cell lengths 2.850, 3.826, 5.637 Å; angles 90.00, 90.00, 90.00 degrees
Fractional coordinates of all 4 atoms:
Ag1 0.000 0.000 0.498
Mn1 0.500 0.500 0.764
Zn1 0.000 0.000 0.994
Zn2 0.500 0.500 0.244

Output
Space group: Pmm2
Formation energy from the elements: 9.9 kJ per mole of atoms
Density: 7.93 g/cm3



(3)
A relaxed structure of Ca2Nd6Er3. Source: Alexandria, functional PBE.

Cell lengths 3.650, 3.650, 33.190 Å; angles 86.85, 86.85, 60.00 degrees
Fractional coordinates of all 11 atoms:
Nd1 0.819 0.819 0.544
Nd2 0.638 0.638 0.087
Nd3 0.913 0.913 0.261
Nd4 0.087 0.087 0.739
Nd5 0.362 0.362 0.913
Nd6 0.181 0.181 0.456
Ca1 0.547 0.547 0.359
Ca2 0.453 0.453 0.641
Er1 0.725 0.725 0.825
Er2 0.000 0.000 0.000
Er3 0.275 0.275 0.175

Output
Space group: R-3m
Formation energy from the elements: 2.8 kJ per mole of atoms
Density: 6.29 g/cm3



(4)
A relaxed structure of KTbDy2. Source: Alexandria, functional PBE.

Cell lengths 3.579, 3.579, 13.380 Å; angles 82.31, 82.31, 60.00 degrees
Fractional coordinates of all 4 atoms:
K1 0.000 0.000 0.000
Dy1 0.904 0.904 0.287
Dy2 0.096 0.096 0.713
Tb1 0.500 0.500 0.500

Output
Space group: R-3m
Formation energy from the elements: 23.2 kJ per mole of atoms
Density: 5.92 g/cm3



(5)
A relaxed structure of PrNd2Sm2. Source: Alexandria, functional PBE.

Cell lengths 9.588, 9.588, 3.867 Å; angles 90.00, 90.00, 90.00 degrees
Fractional coordinates of all 10 atoms:
Sm1 0.170 0.670 0.500
Sm2 0.330 0.170 0.500
Sm3 0.670 0.830 0.500
Sm4 0.830 0.330 0.500
Nd1 0.371 0.871 0.000
Nd2 0.629 0.129 0.000
Nd3 0.129 0.371 0.000
Nd4 0.871 0.629 0.000
Pr1 0.500 0.500 0.000
Pr2 0.000 0.000 0.000

Output
Space group: P4/mbm
Formation energy from the elements: 9.2 kJ per mole of atoms
Density: 6.82 g/cm3



(6)
A relaxed structure of Mg2NF. Source: Alexandria, functional PBE.

Cell lengths 5.897, 5.897, 5.897 Å; angles 138.09, 138.09, 60.77 degrees
Fractional coordinates of all 8 atoms:
Mg1 0.538 0.038 0.500
Mg2 0.962 0.462 0.500
Mg3 0.288 0.288 0.000
Mg4 0.712 0.712 0.000
F1 0.250 0.750 0.500
F2 0.000 0.000 0.000
N1 0.750 0.250 0.500
N2 0.500 0.500 0.000

Output
Space group: I4_1/amd
E_form (uncorrected): -1.805 eV/atom
Density: 2.99 g/cm3



(7)
A relaxed structure of BaBiOsO6. Source: Alexandria, functional PBE.

Cell lengths 5.686, 5.686, 5.613 Å; angles 90.01, 89.99, 59.99 degrees
Fractional coordinates of all 9 atoms:
O1 0.604 0.348 0.696
O2 0.348 0.048 0.696
O3 0.048 0.348 0.304
O4 0.604 0.048 0.304
O5 0.348 0.604 0.304
O6 0.048 0.604 0.696
Ba1 0.000 0.000 0.000
Bi1 0.667 0.667 0.500
Os1 0.333 0.333 0.500

Output
Space group: P312
E_form (uncorrected): -1.520 eV/atom
Density: 6.68 g/cm3



(8)
A relaxed structure of PrNbIO4. Source: Alexandria, functional PBE.

Cell lengths 7.238, 7.238, 7.215 Å; angles 77.31, 77.31, 55.46 degrees
Fractional coordinates of all 14 atoms:
O1 0.892 0.466 0.879
O2 0.688 0.688 0.493
O3 0.466 0.892 0.879
O4 0.312 0.312 0.507
O5 0.108 0.534 0.121
O6 0.523 0.523 0.204
O7 0.477 0.477 0.796
O8 0.534 0.108 0.121
Nb1 0.626 0.626 0.753
Nb2 0.374 0.374 0.247
Pr1 0.709 0.709 0.164
Pr2 0.291 0.291 0.836
I1 0.027 0.027 0.308
I2 0.973 0.973 0.692

Output
Space group: C2/m
E_form (uncorrected): -2.449 eV/atom
Density: 4.68 g/cm3



(9)
A relaxed structure of Rb2SmBS4. Source: Alexandria, functional PBE.

Cell lengths 5.913, 7.679, 12.838 Å; angles 84.91, 76.68, 67.36 degrees
Fractional coordinates of all 16 atoms:
S1 0.290 0.174 0.904
S2 0.943 0.674 0.596
S3 0.537 0.174 0.096
S4 0.367 0.826 0.096
S5 0.807 0.826 0.904
S6 0.383 0.674 0.404
S7 0.213 0.326 0.404
S8 0.460 0.326 0.596
Rb1 0.820 0.000 0.361
Rb2 0.570 0.500 0.861
Rb3 0.930 0.500 0.139
Rb4 0.180 0.000 0.639
B1 0.500 0.000 0.000
B2 0.250 0.500 0.500
Sm1 0.750 0.500 0.500
Sm2 0.000 0.000 0.000

Output
Space group: Fddd
E_form (uncorrected): -1.078 eV/atom
Density: 2.92 g/cm3



(10)
A relaxed structure of TbMg5Cd2. Source: Alexandria, functional PBE.

Cell lengths 3.409, 7.686, 7.686 Å; angles 76.15, 77.19, 77.19 degrees
Fractional coordinates of all 8 atoms:
Mg1 0.634 0.590 0.143
Mg2 0.000 0.500 0.500
Mg3 0.366 0.410 0.857
Mg4 0.366 0.857 0.410
Mg5 0.634 0.143 0.590
Cd1 0.257 0.243 0.243
Cd2 0.743 0.757 0.757
Tb1 0.000 0.000 0.000

Output
Space group: Immm
Formation energy from the elements: -12.8 kJ per mole of atoms
Density: 4.47 g/cm3



(11)
A relaxed structure of Pm2NdY3Er6. Source: Alexandria, functional PBE.

Cell lengths 6.173, 6.173, 11.771 Å; angles 95.01, 95.01, 119.96 degrees
Fractional coordinates of all 12 atoms:
Y1 0.500 0.500 0.500
Y2 0.167 0.833 0.500
Y3 0.833 0.167 0.500
Pm1 0.667 0.333 0.000
Pm2 0.333 0.667 0.000
Er1 0.085 0.418 0.252
Er2 0.915 0.582 0.748
Er3 0.249 0.249 0.748
Er4 0.582 0.915 0.748
Er5 0.751 0.751 0.252
Er6 0.418 0.085 0.252
Nd1 0.000 0.000 0.000

Output
Space group: C2/m
Formation energy from the elements: 2.1 kJ per mole of atoms
Density: 7.40 g/cm3



(12)
A relaxed structure of ZnSe2BrF. Source: Alexandria, functional PBE.

Cell lengths 4.985, 4.985, 5.066 Å; angles 90.00, 90.00, 90.00 degrees
Fractional coordinates of all 5 atoms:
F1 0.500 0.500 0.500
Se1 0.000 0.500 0.000
Se2 0.500 0.000 0.000
Br1 0.000 0.000 0.500
Zn1 0.000 0.000 0.000

Output
Space group: P4/mmm
E_form (uncorrected): 0.239 eV/atom
Density: 4.25 g/cm3